Crystalline Ba2BeP at its relaxed geometry, computed with PBE. Values from VASP.

Calculated values
Symmetry: Imm2 (44)
DFT formation energy in eV/atom: -0.408
Energy above the most stable polymorph in this dataset in meV per atom: 31
E_tot in eV/atom: -3.65

```
&SYSTEM
  ibrav = 0, nat = 4, ntyp = 3
/
ATOMIC_SPECIES
Ba 137.33 Ba.upf
Be 9.01 Be.upf
P 30.97 P.upf
CELL_PARAMETERS angstrom
8.812 0.010 -0.003
6.906 5.474 0.003
-7.747 -3.063 2.874
ATOMIC_POSITIONS angstrom
Ba 0.013 0.005 0.000
Ba 4.506 -0.140 1.435
Be 6.287 2.193 0.000
P 5.023 3.105 1.439
```